[1]
VASP calculation (PBE) on Rb2ZrZnBr6 after structural relaxation.

The structure in POSCAR format:
```
Rb2ZrZnBr6
1.0
0.0000 5.8963 5.8963
5.8963 0.0000 5.8963
5.8963 5.8963 0.0000
Rb Zr Zn Br
2 1 1 6
Direct
0.2500 0.2500 0.2500 Rb
0.7500 0.7500 0.7500 Rb
0.0000 0.0000 0.0000 Zr
0.5000 0.5000 0.5000 Zn
0.2255 0.2255 0.7745 Br
0.2255 0.7745 0.2255 Br
0.2255 0.7745 0.7745 Br
0.7745 0.2255 0.2255 Br
0.7745 0.2255 0.7745 Br
0.7745 0.7745 0.2255 Br
```

Output
As for the space group: Fm-3m, No. 225. As for the electronic total energy: -0.127 hartree per atom.

[2]
VASP calculation (PBE) on RbZrBr6 after structural relaxation.

The structure in POSCAR format:
```
RbZrBr6
1.0
4.4141 -5.0687 0.0000
4.4141 5.0687 0.0000
-1.4161 0.0000 6.5589
Rb Zr Br
1 1 6
Direct
0.0000 0.0000 0.0000 Rb
0.5000 0.5000 0.5000 Zr
0.2208 0.2208 0.5839 Br
0.2219 0.5867 0.2206 Br
0.4133 0.7781 0.7794 Br
0.5867 0.2219 0.2206 Br
0.7781 0.4133 0.7794 Br
0.7792 0.7792 0.4161 Br
```

Output
As for the space group: C2/m, No. 12. As for the electronic total energy: -0.135 hartree per atom.

[3]
VASP calculation (PBE) on Rb2ZrBr7 after structural relaxation.

The structure in POSCAR format:
```
Rb2ZrBr7
1.0
-4.3740 4.3740 5.5341
4.3740 -4.3740 5.5341
4.3740 4.3740 -5.5341
Rb Zr Br
2 1 7
Direct
0.2500 0.7500 0.5000 Rb
0.7500 0.2500 0.5000 Rb
0.0000 0.0000 0.0000 Zr
0.2137 0.2137 0.4274 Br
0.2137 0.7863 0.0000 Br
0.2404 0.2404 0.0000 Br
0.5000 0.5000 0.0000 Br
0.7596 0.7596 0.0000 Br
0.7863 0.2137 0.0000 Br
0.7863 0.7863 0.5726 Br
```

Output
As for the space group: I4/mmm, No. 139. As for the electronic total energy: -0.129 hartree per atom.

[4]
VASP calculation (PBE) on Rb3ZrBr after structural relaxation.

The structure in POSCAR format:
```
Rb3ZrBr
1.0
6.5977 0.0000 0.0000
0.0000 6.5977 0.0000
0.0000 0.0000 6.5977
Rb Zr Br
3 1 1
Direct
0.0000 0.0000 0.5000 Rb
0.0000 0.5000 0.0000 Rb
0.5000 0.0000 0.0000 Rb
0.5000 0.5000 0.5000 Zr
0.0000 0.0000 0.0000 Br
```

Output
The value obtained for the energy relative to the lowest polymorph listed for this composition is 0 meV/atom. As for the space group: Pm-3m, No. 221.